PBE-GGA Ti4PdW, optimized geometry; total moment = 0.00 μB/cell; ΔH_f (0 K) = 1.63 eV per formula unit; E_tot = -8.016 eV/atom
1.0
-3.531 1.796 -1.895
-2.862 -2.535 -2.157
-5.716 -1.147 4.476
Ti Pd W
4 1 1
Direct
0.123 0.124 0.630 Ti
0.877 0.876 0.370 Ti
0.373 0.373 0.882 Ti
0.627 0.627 0.118 Ti
0.500 0.500 0.500 Pd
0.000 0.000 0.000 W

PBE-GGA TiPd2W, optimized geometry; relative energy among the computed polymorphs = 19.81 kJ per mole of atoms; total moment = 0.00 μB/cell; ΔH_f (0 K) = 1.16 eV per formula unit; E_tot = -7.517 eV/atom
1.0
-1.099 5.811 -3.899
-6.251 -2.589 -2.098
-4.861 2.786 -0.913
W Ti Pd
2 2 4
Direct
0.000 0.000 0.000 W
0.750 0.250 0.500 W
0.250 0.750 0.500 Ti
0.500 0.500 0.000 Ti
0.375 0.376 0.750 Pd
0.875 0.874 0.750 Pd
0.126 0.625 0.250 Pd
0.624 0.125 0.250 Pd

PBE-GGA Ti4Pd3W, optimized geometry; total moment = 1.25 μB/cell; ΔH_f (0 K) = -3.23 eV per formula unit; E_tot = -7.918 eV/atom
1.0
3.109 0.000 0.000
0.000 3.109 0.000
0.000 0.000 13.253
Pd Ti W
3 4 1
Direct
0.500 0.500 0.245 Pd
0.500 0.500 0.500 Pd
0.500 0.500 0.755 Pd
0.000 0.000 0.372 Ti
0.000 0.000 0.628 Ti
0.000 0.000 0.883 Ti
0.000 0.000 0.117 Ti
0.500 0.500 0.000 W

PBE-GGA Ti2Pd2W, optimized geometry; relative energy among the computed polymorphs = 0.00 kJ per mole of atoms; total moment = 0.00 μB/cell; ΔH_f (0 K) = -1.50 eV per formula unit; E_tot = -8.126 eV/atom
1.0
3.184 0.000 0.000
0.000 3.029 0.574
0.000 -0.059 8.591
W Pd Ti
1 2 2
Direct
0.000 0.000 0.000 W
0.000 0.182 0.637 Pd
0.000 0.818 0.363 Pd
0.500 0.406 0.189 Ti
0.500 0.594 0.811 Ti

PBE-GGA Ti3PdW, optimized geometry; relative energy among the computed polymorphs = 0.00 kJ per mole of atoms; total moment = 0.00 μB/cell; ΔH_f (0 K) = 4.52 eV per formula unit; E_tot = -7.463 eV/atom
1.0
4.734 0.000 0.000
0.000 4.734 0.000
0.000 0.000 4.734
Ti Pd W
3 1 1
Direct
0.000 0.500 0.000 Ti
0.000 0.000 0.500 Ti
0.500 0.000 0.000 Ti
0.500 0.500 0.500 Pd
0.000 0.000 0.000 W

PBE-GGA Ti2Pd2W, optimized geometry; relative energy among the computed polymorphs = 14.73 kJ per mole of atoms; total moment = 0.00 μB/cell; ΔH_f (0 K) = -0.74 eV per formula unit; E_tot = -7.974 eV/atom
1.0
-4.965 -4.788 -2.886
1.431 -4.820 5.534
-2.073 1.198 1.579
Pd Ti W
4 4 2
Direct
0.372 0.872 0.000 Pd
0.128 0.372 0.000 Pd
0.628 0.128 0.000 Pd
0.872 0.628 0.000 Pd
0.674 0.826 0.500 Ti
0.826 0.326 0.500 Ti
0.326 0.174 0.500 Ti
0.174 0.674 0.500 Ti
0.000 0.000 0.000 W
0.500 0.500 0.000 W

PBE-GGA YTiPdW2, optimized geometry; total moment = 0.00 μB/cell; ΔH_f (0 K) = 7.26 eV per formula unit; E_tot = -7.640 eV/atom
1.0
-3.475 2.109 2.071
-2.767 -1.199 -3.422
-1.185 -4.411 2.504
W Pd Ti Y
2 1 1 1
Direct
0.500 0.000 0.000 W
0.000 0.500 0.000 W
0.500 0.500 0.500 Pd
0.000 0.000 0.000 Ti
0.000 0.000 0.500 Y

PBE-GGA ZrTiPdW, optimized geometry; total moment = 0.00 μB/cell; ΔH_f (0 K) = -0.88 eV per formula unit; E_tot = -8.867 eV/atom
1.0
-3.396 -3.065 -0.509
-0.896 -3.020 3.355
-3.852 0.399 2.487
Zr Ti W Pd
1 1 1 1
Direct
0.750 0.750 0.750 Zr
0.250 0.250 0.250 Ti
0.500 0.500 0.500 W
0.000 0.000 0.000 Pd

PBE-GGA Y2TiPd2, optimized geometry; relative energy among the computed polymorphs = 27.02 kJ per mole of atoms; total moment = 1.93 μB/cell; ΔH_f (0 K) = -1.38 eV per formula unit; E_tot = -6.518 eV/atom
1.0
5.564 0.000 0.000
0.000 5.564 0.000
2.782 2.782 3.905
Y Pd Ti
2 2 1
Direct
0.750 0.250 0.500 Y
0.250 0.750 0.500 Y
0.332 0.332 0.337 Pd
0.668 0.668 0.663 Pd
0.000 0.000 0.000 Ti

PBE-GGA Y3TiPd, optimized geometry; relative energy among the computed polymorphs = 0.00 kJ per mole of atoms; total moment = 2.81 μB/cell; ΔH_f (0 K) = 0.92 eV per formula unit; E_tot = -6.312 eV/atom
1.0
-2.772 -0.888 -4.541
4.490 -1.793 -2.391
-1.116 -5.009 1.660
Ti Y Pd
1 3 1
Direct
0.500 0.500 0.500 Ti
0.500 0.000 0.000 Y
0.000 0.000 0.500 Y
0.000 0.500 0.000 Y
0.000 0.000 0.000 Pd

PBE-GGA YTi2Pd8, optimized geometry; total moment = 0.00 μB/cell; ΔH_f (0 K) = -7.09 eV per formula unit; E_tot = -6.444 eV/atom
1.0
-0.762 2.694 2.884
-5.379 1.948 -3.240
-1.487 -6.652 3.020
Pd Ti Y
8 2 1
Direct
0.317 0.084 0.633 Pd
0.152 0.216 0.303 Pd
0.394 0.532 0.788 Pd
0.045 0.716 0.089 Pd
0.955 0.284 0.911 Pd
0.606 0.468 0.212 Pd
0.848 0.784 0.697 Pd
0.683 0.916 0.367 Pd
0.221 0.666 0.442 Ti
0.779 0.334 0.558 Ti
0.500 0.000 0.000 Y

PBE-GGA Y2TiPd2, optimized geometry; relative energy among the computed polymorphs = 25.13 kJ per mole of atoms; total moment = 5.60 μB/cell; ΔH_f (0 K) = -1.48 eV per formula unit; E_tot = -6.538 eV/atom
1.0
-7.259 -3.295 -1.888
3.691 -7.079 -1.838
-0.359 -0.998 3.124
Ti Pd Y
2 4 4
Direct
0.000 0.000 0.000 Ti
0.500 0.500 0.000 Ti
0.355 0.145 0.500 Pd
0.145 0.645 0.500 Pd
0.855 0.355 0.500 Pd
0.645 0.855 0.500 Pd
0.654 0.154 0.000 Y
0.846 0.654 0.000 Y
0.346 0.846 0.000 Y
0.154 0.346 0.000 Y

PBE-GGA Y2TiPd, optimized geometry; relative energy among the computed polymorphs = 0.00 kJ per mole of atoms; total moment = 0.00 μB/cell; ΔH_f (0 K) = -1.12 eV per formula unit; E_tot = -6.783 eV/atom
1.0
3.514 0.000 0.000
0.000 3.514 0.000
0.000 0.000 7.451
Y Ti Pd
2 1 1
Direct
0.000 0.000 0.768 Y
0.000 0.000 0.232 Y
0.500 0.500 0.500 Ti
0.500 0.500 0.000 Pd

PBE-GGA YTiPd4, optimized geometry; total moment = 0.00 μB/cell; ΔH_f (0 K) = -3.83 eV per formula unit; E_tot = -6.493 eV/atom
1.0
3.977 0.000 0.000
0.000 6.655 0.000
0.000 0.000 16.373
Y Pd Ti
4 16 4
Direct
0.250 0.683 0.291 Y
0.250 0.183 0.209 Y
0.750 0.817 0.791 Y
0.750 0.317 0.709 Y
0.250 0.964 0.057 Pd
0.750 0.430 0.882 Pd
0.750 0.288 0.083 Pd
0.750 0.930 0.618 Pd
0.750 0.036 0.943 Pd
0.250 0.070 0.382 Pd
0.750 0.860 0.173 Pd
0.250 0.464 0.443 Pd
0.250 0.140 0.827 Pd
0.750 0.788 0.417 Pd
0.750 0.360 0.327 Pd
0.250 0.570 0.118 Pd
0.250 0.212 0.583 Pd
0.250 0.712 0.917 Pd
0.250 0.640 0.673 Pd
0.750 0.536 0.557 Pd
0.250 0.808 0.525 Ti
0.750 0.692 0.025 Ti
0.750 0.192 0.475 Ti
0.250 0.308 0.975 Ti

PBE-GGA Y2TiPd, optimized geometry; relative energy among the computed polymorphs = 13.54 kJ per mole of atoms; total moment = 3.09 μB/cell; ΔH_f (0 K) = -0.55 eV per formula unit; E_tot = -6.643 eV/atom
1.0
0.000 3.585 3.585
3.585 0.000 3.585
3.585 3.585 0.000
Y Pd Ti
2 1 1
Direct
0.250 0.250 0.250 Y
0.750 0.750 0.750 Y
0.500 0.500 0.500 Pd
0.000 0.000 0.000 Ti

PBE-GGA YTi2Pd, optimized geometry; relative energy among the computed polymorphs = 0.00 kJ per mole of atoms; total moment = 0.00 μB/cell; ΔH_f (0 K) = 0.13 eV per formula unit; E_tot = -6.829 eV/atom
1.0
-2.918 -6.602 -2.591
5.776 -0.586 -5.011
2.975 -5.043 -1.850
Ti Pd Y
4 2 2
Direct
0.068 0.625 0.250 Ti
0.875 0.932 0.750 Ti
0.375 0.318 0.750 Ti
0.682 0.125 0.250 Ti
0.750 0.250 0.500 Pd
0.000 0.000 0.000 Pd
0.500 0.500 0.000 Y
0.250 0.750 0.500 Y

PBE-GGA YTi2Pd, optimized geometry; relative energy among the computed polymorphs = 1.69 kJ per mole of atoms; total moment = 0.00 μB/cell; ΔH_f (0 K) = 0.20 eV per formula unit; E_tot = -6.811 eV/atom
1.0
0.830 -4.041 -2.264
2.332 -3.470 2.159
-2.268 -3.920 1.277
Ti Pd Y
2 1 1
Direct
0.250 0.250 0.250 Ti
0.750 0.750 0.750 Ti
0.500 0.500 0.500 Pd
0.000 0.000 0.000 Y

PBE-GGA Y2TiPd, optimized geometry; relative energy among the computed polymorphs = 32.76 kJ per mole of atoms; total moment = 3.79 μB/cell; ΔH_f (0 K) = 0.24 eV per formula unit; E_tot = -6.443 eV/atom
1.0
7.997 0.000 0.000
0.000 7.997 0.000
3.999 3.999 3.110
Ti Pd Y
2 2 4
Direct
0.250 0.750 0.500 Ti
0.500 0.500 0.000 Ti
0.000 0.000 0.000 Pd
0.750 0.250 0.500 Pd
0.665 0.125 0.250 Y
0.085 0.625 0.250 Y
0.375 0.335 0.750 Y
0.875 0.915 0.750 Y

PBE-GGA Y2TiPd2, optimized geometry; relative energy among the computed polymorphs = 0.00 kJ per mole of atoms; total moment = 0.00 μB/cell; ΔH_f (0 K) = -2.78 eV per formula unit; E_tot = -6.798 eV/atom
1.0
6.916 0.000 0.000
0.000 6.916 0.000
0.000 0.000 4.555
Y Ti Pd
4 2 4
Direct
0.173 0.673 0.500 Y
0.327 0.173 0.500 Y
0.827 0.327 0.500 Y
0.673 0.827 0.500 Y
0.500 0.500 0.000 Ti
0.000 0.000 0.000 Ti
0.141 0.359 0.000 Pd
0.359 0.859 0.000 Pd
0.641 0.141 0.000 Pd
0.859 0.641 0.000 Pd

PBE-GGA Y2Ti2Pd, optimized geometry; total moment = 1.28 μB/cell; ΔH_f (0 K) = -0.46 eV per formula unit; E_tot = -6.874 eV/atom
1.0
6.723 0.000 0.000
0.000 6.723 0.000
0.000 0.000 4.965
Ti Y Pd
4 4 2
Direct
0.640 0.140 0.000 Ti
0.140 0.360 0.000 Ti
0.860 0.640 0.000 Ti
0.360 0.860 0.000 Ti
0.331 0.169 0.500 Y
0.831 0.331 0.500 Y
0.669 0.831 0.500 Y
0.169 0.669 0.500 Y
0.000 0.000 0.000 Pd
0.500 0.500 0.000 Pd